! Sm2TiTl, relaxed, DFT PBE; values from VASP
&SYSTEM
  ibrav = 0, nat = 4, ntyp = 3
/
ATOMIC_SPECIES
Sm 150.36 Sm.upf
Ti 47.87 Ti.upf
Tl 204.38 Tl.upf
ATOMIC_POSITIONS crystal
Sm 0.086 0.086 0.086
Sm 0.914 0.914 0.914
Ti 0.000 0.000 0.000
Tl 0.500 0.500 0.500
CELL_PARAMETERS angstrom
1.677 0.968 11.562
-1.677 0.968 11.562
0.000 -1.937 11.562
! spin magnetization: 1.93 μB per formula unit
! Fermi-level density of states: 5.5 states/eV/f.u.
! calculated volume: 112.7 Å³/cell
! offset from the most stable computed form: 347 meV/atom
! formation energy: 0.3501 eV/atom